Below is a relaxed structure of CrCo2Ag, with properties calculated at the PBE level.

Values from the calculation:
Calculated total energy (eV per cell): -49.087
Fermi-level density of states (states/eV per atom): 1.017

Cell lengths 2.7687, 4.4628, 8.3453 Å; angles 90.00, 90.00, 90.00 degrees
With the nearest neighbours (Å) after each atom.
Space group Immm (No. 71)
One atom of each set of equivalent atoms:
1 Cr 0.0000 0.0000 0.0000  4 Co 2.32
2 Co 0.0000 0.5000 0.2763  2 Cr 2.32
3 Ag 0.0000 0.0000 0.5000  4 Cr 2.63, 8 Co 2.69-2.91, 2 Ag 2.77



Below is a relaxed structure of CrCo2Ag, with properties calculated at the PBE level.

Values from the calculation:
Calculated total energy (eV per cell): -49.809
Fermi-level density of states (states/eV per atom): 1.724

Cell lengths 3.7357, 3.7357, 7.4817 Å; angles 90.00, 90.00, 90.00 degrees
With the nearest neighbours (Å) after each atom.
Space group I4/mmm (No. 139)
One atom of each set of equivalent atoms:
1 Cr 0.0000 0.0000 0.0000  4 Ag 2.64, 8 Co 2.64
2 Co 0.0000 0.5000 0.2500  4 Co 2.64, 4 Cr 2.64, 4 Ag 2.64
3 Ag 0.0000 0.0000 0.5000  4 Cr 2.64, 8 Co 2.64



Below is a relaxed structure of CrCo2Ag, with properties calculated at the PBE level.

Values from the calculation:
Calculated total energy (eV per cell): -49.788
Fermi-level density of states (states/eV per atom): 1.409

Cell lengths 8.6833, 2.6417, 4.5955 Å; angles 90.00, 101.01, 90.00 degrees
With the nearest neighbours (Å) after each atom.
Space group Cm (No. 8)
One atom of each set of equivalent atoms:
1 Cr 0.0000 0.0000 0.0000  5 Co 2.42-2.58, 2 Cr 2.64, 1 Ag 2.68
2 Co 0.2424 0.5000 0.2030  5 Co 2.49-2.70, 3 Cr 2.51-2.58, 4 Ag 2.65
3 Co 0.4775 0.0000 0.4300  2 Cr 2.42, 5 Co 2.49-2.70, 3 Ag 2.63-2.70
4 Ag 0.2368 0.0000 0.7010  7 Co 2.63-2.70, 2 Ag 2.64, 3 Cr 2.68-2.77



Below is a relaxed structure of CrCoAg4, with properties calculated at the PBE level.

Values from the calculation:
Calculated total energy (eV per cell): -97.282
Fermi-level density of states (states/eV per atom): 1.108

Cell lengths 7.5997, 7.5997, 7.5997 Å; angles 90.00, 90.00, 90.00 degrees
With the nearest neighbours (Å) after each atom.
Space group F-43m (No. 216)
One atom of each set of equivalent atoms:
1 Cr 0.0000 0.0000 0.0000  12 Ag 3.15, 4 Co 3.29
2 Co 0.2500 0.2500 0.2500  12 Ag 3.15, 4 Cr 3.29
3 Ag 0.1249 0.1249 0.6249  6 Ag 2.68-2.69



Below is a relaxed structure of CrCoAg, with properties calculated at the PBE level.

Values from the calculation:
Calculated total energy (eV per cell): -36.733
Fermi-level density of states (states/eV per atom): 0.952

Cell lengths 2.7131, 2.7131, 11.0493 Å; angles 90.00, 90.00, 90.00 degrees
With the nearest neighbours (Å) after each atom.
Space group I4mm (No. 107)
One atom of each set of equivalent atoms:
1 Cr 0.0000 0.0000 0.0000  4 Co 2.35
2 Co 0.0000 0.0000 0.3774  4 Cr 2.35
3 Ag 0.0000 0.0000 0.6926  4 Ag 2.71, 4 Co 2.80, 4 Cr 2.86



Below is a relaxed structure of CrCo2Ag, with properties calculated at the PBE level.

Values from the calculation:
Calculated total energy (eV per cell): -24.520
Fermi-level density of states (states/eV per atom): 1.124

Cell lengths 3.0381, 4.2326, 4.2555 Å; angles 90.00, 90.00, 90.00 degrees
With the nearest neighbours (Å) after each atom.
Space group Pmmm (No. 47)
One atom of each set of equivalent atoms:
1 Cr 0.0000 0.0000 0.0000  4 Ag 2.61, 4 Co 2.61
2 Co 0.0000 0.5000 0.5000  4 Co 2.61, 4 Ag 2.61
3 Co 0.5000 0.0000 0.5000  4 Co 2.61, 4 Cr 2.61
4 Ag 0.5000 0.5000 0.0000  4 Cr 2.61, 4 Co 2.61



Below is a relaxed structure of CrCo2Ag, with properties calculated at the PBE level.

Values from the calculation:
Calculated total energy (eV per cell): -49.453
Fermi-level density of states (states/eV per atom): 1.323

Cell lengths 2.8567, 4.3284, 8.5898 Å; angles 90.00, 90.00, 90.00 degrees
With the nearest neighbours (Å) after each atom.
Space group Imm2 (No. 44)
One atom of each set of equivalent atoms:
1 Cr 0.0000 0.0000 0.0000  6 Co 2.52-2.61, 2 Ag 2.74
2 Co 0.0000 0.0000 0.4642  2 Co 2.39, 4 Cr 2.61
3 Co 0.0000 0.5000 0.7417  2 Co 2.39, 2 Cr 2.52, 4 Ag 2.60
4 Ag 0.0000 0.5000 0.2284  6 Co 2.60-2.68, 2 Cr 2.74, 2 Ag 2.86



Below is a relaxed structure of CrCo2Ag, with properties calculated at the PBE level.

Values from the calculation:
Calculated total energy (eV per cell): -25.003
Fermi-level density of states (states/eV per atom): 1.098

Cell lengths 2.9841, 2.9841, 5.9570 Å; angles 90.00, 90.00, 90.00 degrees
With the nearest neighbours (Å) after each atom.
Space group P4mm (No. 99)
One atom of each set of equivalent atoms:
1 Cr 0.0000 0.0000 0.0000  5 Co 2.41-2.46
2 Co 0.0000 0.0000 0.5951  4 Co 2.40, 1 Cr 2.41
3 Co 0.5000 0.5000 0.7872  4 Co 2.40, 4 Cr 2.46
4 Ag 0.5000 0.5000 0.3034  5 Co 2.73-2.88, 4 Cr 2.78, 4 Ag 2.98



Below is a relaxed structure of CrCoAg, with properties calculated at the PBE level.

Values from the calculation:
Calculated total energy (eV per cell): -18.299
Fermi-level density of states (states/eV per atom): 0.607

Cell lengths 2.6482, 2.6482, 6.6338 Å; angles 90.00, 90.00, 120.00 degrees
With the nearest neighbours (Å) after each atom.
Space group P3m1 (No. 156)
One atom of each set of equivalent atoms:
1 Cr 0.0000 0.0000 0.0000  3 Co 2.38, 6 Cr 2.65
2 Co 0.6667 0.3333 0.7260  3 Cr 2.38, 6 Co 2.65
3 Ag 0.3333 0.6667 0.3690  6 Ag 2.65, 3 Co 2.82, 3 Cr 2.89



Below is a relaxed structure of CrCo2Ag, with properties calculated at the PBE level.

Values from the calculation:
Calculated total energy (eV per cell): -49.763
Fermi-level density of states (states/eV per atom): 1.187

Cell lengths 8.3541, 2.6109, 4.7842 Å; angles 90.00, 100.26, 90.00 degrees
With the nearest neighbours (Å) after each atom.
Space group C2/m (No. 12)
One atom of each set of equivalent atoms:
1 Cr 0.0000 0.0000 0.0000  6 Co 2.45-2.55, 2 Cr 2.61, 4 Ag 2.73
2 Co 0.2394 0.5000 0.2077  4 Co 2.41-2.61, 3 Cr 2.45-2.55, 1 Ag 2.64
3 Ag 0.0000 0.5000 0.5000  2 Ag 2.61, 6 Co 2.64-2.70, 4 Cr 2.73



Below is a relaxed structure of CrCo2Ag, with properties calculated at the PBE level.

Values from the calculation:
Calculated total energy (eV per cell): -24.847
Fermi-level density of states (states/eV per atom): 1.905

Cell lengths 3.7839, 3.7839, 3.6538 Å; angles 90.00, 90.00, 90.00 degrees
With the nearest neighbours (Å) after each atom.
Space group P4/mmm (No. 123)
One atom of each set of equivalent atoms:
1 Cr 0.0000 0.0000 0.0000  8 Co 2.63, 4 Ag 2.68
2 Co 0.0000 0.5000 0.5000  4 Cr 2.63, 4 Ag 2.63, 4 Co 2.68
3 Ag 0.5000 0.5000 0.0000  8 Co 2.63, 4 Cr 2.68



Below is a relaxed structure of CrCoAg, with properties calculated at the PBE level.

Values from the calculation:
Calculated total energy (eV per cell): -68.537
Fermi-level density of states (states/eV per atom): 1.188

Cell lengths 5.8322, 5.8322, 5.8322 Å; angles 90.00, 90.00, 90.00 degrees
With the nearest neighbours (Å) after each atom.
Space group F-43m (No. 216)
One atom of each set of equivalent atoms:
1 Cr 0.0000 0.0000 0.0000  4 Co 2.53
2 Co 0.2500 0.2500 0.7500  4 Cr 2.53, 4 Ag 2.53
3 Ag 0.0000 0.0000 0.5000  4 Co 2.53



no.,size of the total moment (μB per formula unit),formation energy from the elements (eV per atom)
1,1.9,0.5358
2,0.4,0.4455
3,1.0,0.4481
4,2.7,0.6356
5,1.6,0.4047
6,6.7,0.5416
7,5.5,0.4900
8,4.9,0.4208
9,0.2,0.4271
10,1.9,0.4512
11,1.2,0.4599
12,2.3,0.8154